[1]
The following is a PBE calculation of an optimized crystal structure of CaMgTcH2, from Alexandria.

Values from the calculation:
**Final energy**: -0.306 Ry/atom

Lattice parameters (Å, degrees): 11.809 3.417 3.732 90.00 108.27 90.00
Space group Cm (No. 8)
Symmetry-distinct sites (fractional):
1 Ca 0.000 0.000 0.000 x2
2 Mg 0.220 0.500 0.687 x2
3 Tc 0.326 0.000 0.292 x2
4 H 0.187 0.000 0.966 x2
5 H 0.383 0.500 0.386 x2

[2]
The following is a PBE calculation of an optimized crystal structure of CdTcCl2, from Alexandria.

Values from the calculation:
**Energy relative to the elements, uncorrected**: 0.251 eV/atom

Lattice parameters (Å, degrees): 7.159 7.159 9.091 90.00 90.00 90.00
Space group I-42d (No. 122)
Symmetry-distinct sites (fractional):
1 Cd 0.000 0.000 0.000 x4
2 Tc 0.000 0.000 0.500 x4
3 Cl 0.118 0.250 0.625 x8